The following is a DFT calculation (GGA-PBE) of a relaxed structure of DyCd2Ag6.

Properties
Magnetic moment, μB/cell: 0.000
Crystal system: orthorhombic
VASP energy, eV per atom: -2.65
Offset from the most stable computed form, meV/atom: 32
DOS at the Fermi energy, states/eV/atom: 0.51

Structure (CIF):
```
data_DyCd2Ag6
_space_group_name_H-M_alt 'P 1'
_space_group_IT_number 1
_space_group_name_Hall 'P 1'
_cell_length_a 3.223
_cell_length_b 8.356
_cell_length_c 8.356
_cell_angle_alpha 57.85
_cell_angle_beta 78.88
_cell_angle_gamma 78.88
loop_
_atom_site_label
_atom_site_fract_x
_atom_site_fract_y
_atom_site_fract_z
Ag1 0.674 0.001 0.651
Ag2 0.326 0.999 0.349
Dy1 0.000 0.000 0.000
Cd1 0.852 0.648 0.648
Ag3 0.500 0.673 0.327
Ag4 0.674 0.651 0.001
Ag5 0.500 0.327 0.673
Cd2 0.148 0.352 0.352
Ag6 0.326 0.349 0.999
```